A PBEsol-optimized structure of K2MoRh, computed with meta-GGA SCAN.

Properties
ΔE_f   1.15 eV/atom

Cell lengths 3.755, 3.755, 11.510 Å; angles 90.00, 90.00, 90.00 degrees
Atoms (fractional coordinates):
K 0.000 0.500 0.250
K 0.000 0.500 0.750
K 0.500 0.000 0.250
K 0.500 0.000 0.750
Mo 0.000 0.000 0.000
Mo 0.500 0.500 0.500
Rh 0.000 0.000 0.500
Rh 0.500 0.500 0.000